A plane-wave DFT calculation with PBE+U was carried out for crystalline NaNiO2 at its relaxed geometry.

Calculated volume in Å³/atom: 13.08
Space group: I-42d, No. 122
E in eV per atom: -4.431
Fermi-level density of states in states/eV/f.u.: 0.00

Cell: 5.3218 5.3218 5.3218 Å, 121.17 121.17 87.99°
Fractional positions:
Na1 0.0000 0.0000 0.0000
Na2 0.7500 0.2500 0.5000
Ni1 0.2500 0.7500 0.5000
Ni2 0.5000 0.5000 0.0000
O1 0.1975 0.6250 0.0725
O2 0.3750 0.4475 0.5725
O3 0.5525 0.1250 0.9275
O4 0.8750 0.8025 0.4275